[1]
This record from Alexandria via LeMat-Bulk describes a relaxed PuHf2O crystal. The functional is PBE.

Cell: 3.0893 3.0893 26.9286 Å, 90.00 90.00 120.00°
Space group R-3m (No. 166, hexagonal axes)
Symmetry-distinct sites (fractional):
1 Pu 0.0000 0.0000 0.0000 (multiplicity 3)
2 Hf 0.0000 0.0000 0.1123 (multiplicity 6)
3 O 0.0000 0.0000 0.5000 (multiplicity 3)



[2]
This record from Alexandria via LeMat-Bulk describes a relaxed PuHf2O8 crystal. The functional is PBE.

Cell: 10.4734 6.7741 3.9953 Å, 90.00 110.56 90.00°
Space group C2/m (No. 12)
Symmetry-distinct sites (fractional):
1 Pu 0.0000 0.0000 0.0000 (multiplicity 2)
2 Hf 0.2003 0.5000 0.0306 (multiplicity 4)
3 O 0.0278 0.5000 0.1938 (multiplicity 4)
4 O 0.1219 0.1978 0.8578 (multiplicity 8)
5 O 0.2261 0.0000 0.4228 (multiplicity 4)



[3]
This record from Alexandria via LeMat-Bulk describes a relaxed Pu4HfO10 crystal. The functional is PBE.

Cell: 3.7626 3.7626 46.2011 Å, 90.00 90.00 120.00°
Space group R-3m (No. 166, hexagonal axes)
Symmetry-distinct sites (fractional):
1 Pu 0.0000 0.0000 0.1022 (multiplicity 6)
2 Pu 0.0000 0.0000 0.2992 (multiplicity 6)
3 Hf 0.0000 0.0000 0.5000 (multiplicity 3)
4 O 0.0000 0.0000 0.0513 (multiplicity 6)
5 O 0.0000 0.0000 0.1527 (multiplicity 6)
6 O 0.0000 0.0000 0.2481 (multiplicity 6)
7 O 0.0000 0.0000 0.3503 (multiplicity 6)
8 O 0.0000 0.0000 0.4534 (multiplicity 6)



Formation energy from raw total energies values (in eV per atom) by entry order: -0.808 -2.515 -3.179.